(1)
A plane-wave DFT calculation with PBE-GGA was carried out for an optimized crystal structure of TlCrN3.

a b c (Å): 4.2347 4.2347 4.2347
angles (deg): 90.00 90.00 90.00
Space group Pm-3m (No. 221)
Inequivalent atoms, fractional coordinates:
Tl: 0.0000 0.0000 0.0000 [1 per cell]
Cr: 0.5000 0.5000 0.5000 [1 per cell]
N: 0.0000 0.0000 0.5000 [3 per cell]

Results
The calculation puts the raw formation energy at 12.21 eV/f.u.

---

(2)
A plane-wave DFT calculation with PBE-GGA was carried out for an optimized crystal structure of Pr3GaB2Pt9.

a b c (Å): 5.8383 5.8383 9.2815
angles (deg): 90.00 90.00 120.00
Space group P-3m1 (No. 164)
Inequivalent atoms, fractional coordinates:
Pr: 0.0000 0.0000 0.0000 [1 per cell]
Pr: 0.3333 0.6667 0.6110 [2 per cell]
Ga: 0.0000 0.0000 0.5000 [1 per cell]
B: 0.3333 0.6667 0.1491 [2 per cell]
Pt: 0.0000 0.5000 0.0000 [3 per cell]
Pt: 0.1655 0.3310 0.2875 [6 per cell]

Results
The calculation puts the formation energy at -0.81 eV per atom.

---

(3)
A plane-wave DFT calculation with PBE-GGA was carried out for an optimized crystal structure of ErCu12Si4.

a b c (Å): 8.0996 8.0996 8.0996
angles (deg): 90.00 90.00 90.00
Space group Im-3 (No. 204)
Inequivalent atoms, fractional coordinates:
Er: 0.0000 0.0000 0.0000 [2 per cell]
Cu: 0.0000 0.1556 0.3510 [24 per cell]
Si: 0.2500 0.2500 0.2500 [8 per cell]

Results
The calculation puts the raw formation energy at 4.65 eV/f.u.

---

(4)
A plane-wave DFT calculation with PBE-GGA was carried out for an optimized crystal structure of BaSi.

a b c (Å): 9.3129 9.3129 9.3129
angles (deg): 90.00 90.00 90.00
Space group Pm-3n (No. 223)
Inequivalent atoms, fractional coordinates:
Ba: 0.0000 0.2500 0.5000 [6 per cell]
Si: 0.0000 0.5000 0.2500 [6 per cell]

Results
The calculation puts the raw formation energy at 1.30 eV/f.u.

---

(5)
A plane-wave DFT calculation with PBE-GGA was carried out for an optimized crystal structure of Cs4Ac3PrO8.

a b c (Å): 7.7445 7.7445 20.9996
angles (deg): 90.00 90.00 120.00
Space group R-3m (No. 166, hexagonal axes)
Inequivalent atoms, fractional coordinates:
Cs: 0.0000 0.0000 0.0000 [3 per cell]
Cs: 0.0000 0.5000 0.0000 [9 per cell]
Ac: 0.0000 0.5000 0.5000 [9 per cell]
Pr: 0.0000 0.0000 0.5000 [3 per cell]
O: 0.0000 0.0000 0.2248 [6 per cell]
O: 0.0081 0.5041 0.2242 [18 per cell]

Results
The calculation puts the raw formation energy at -39.86 eV/f.u.

---

(6)
A plane-wave DFT calculation with PBE-GGA was carried out for an optimized crystal structure of Nb2CuPt3.

a b c (Å): 6.9718 7.7934 7.1056
angles (deg): 90.00 101.22 90.00
Space group C2/c (No. 15)
Inequivalent atoms, fractional coordinates:
Nb: 0.1239 0.2396 0.1238 [8 per cell]
Cu: 0.0000 0.4155 0.7500 [4 per cell]
Pt: 0.0000 0.0927 0.7500 [4 per cell]
Pt: 0.2322 0.4206 0.4984 [8 per cell]

Results
The calculation puts the formation energy at -0.49 eV per atom.

---

(7)
A plane-wave DFT calculation with PBE-GGA was carried out for an optimized crystal structure of KBa2P5O15.

a b c (Å): 8.7643 7.4725 13.9993
angles (deg): 90.00 128.33 90.00
Space group Pc (No. 7)
Inequivalent atoms, fractional coordinates:
K: 0.0000 0.1443 0.0000 [2 per cell]
Ba: 0.1852 0.3357 0.3794 [2 per cell]
Ba: 0.6002 0.3681 0.2934 [2 per cell]
P: 0.1012 0.3972 0.6116 [2 per cell]
P: 0.3907 0.1569 0.9856 [2 per cell]
P: 0.4257 0.1558 0.7868 [2 per cell]
P: 0.7688 0.3427 0.6237 [2 per cell]
P: 0.8110 0.0492 0.1871 [2 per cell]
O: 0.0036 0.4385 0.4800 [2 per cell]
O: 0.2067 0.4522 0.2020 [2 per cell]
O: 0.2466 0.2311 0.6493 [2 per cell]
O: 0.2800 0.0053 0.4740 [2 per cell]
O: 0.3339 0.2099 0.8549 [2 per cell]
O: 0.3673 0.3238 0.0363 [2 per cell]
O: 0.4339 0.0425 0.2774 [2 per cell]
O: 0.5849 0.3483 0.4941 [2 per cell]
O: 0.6009 0.2703 0.8356 [2 per cell]
O: 0.6166 0.1098 0.0561 [2 per cell]
O: 0.7777 0.1632 0.6909 [2 per cell]
O: 0.8215 0.1257 0.2905 [2 per cell]
O: 0.8211 0.4936 0.7097 [2 per cell]
O: 0.9459 0.3014 0.6193 [2 per cell]
O: 0.9754 0.0888 0.1843 [2 per cell]

Results
The calculation puts the raw formation energy at -56.63 eV/f.u.

---

(8)
A plane-wave DFT calculation with PBE-GGA was carried out for an optimized crystal structure of SrFe2Se.

a b c (Å): 7.2627 4.1932 5.9904
angles (deg): 90.00 113.93 90.00
Space group C2/m (No. 12)
Inequivalent atoms, fractional coordinates:
Sr: 0.0000 0.0000 0.0000 [2 per cell]
Fe: 0.1819 0.0000 0.5456 [4 per cell]
Se: 0.0000 0.5000 0.5000 [2 per cell]

Results
The calculation puts the raw formation energy at -0.32 eV/f.u.

---

The records above yield final energy values of -4.952; -6.485; -4.163; -3.025; -6.253; -7.546; -7.087; -5.604 eV per atom, respectively.
The records above yield mass density values of 6.52; 13.76; 6.51; 2.04; 6.77; 14.64; 3.27; 5.54 g/cm3, respectively.